A PBEsol-optimized structure of Ta2CdAgAs. Source: Alexandria, functional SCAN.

Fermi-level density of states   7.956 states/eV/f.u.
Calculated formation energy   1863 meV/atom

The structure in CIF format:
```
data_Ta2CdAgAs
_space_group_name_H-M_alt 'P 4/m m m'
_space_group_IT_number 123
_space_group_name_Hall '-P 4 2'
_cell_length_a 4.957
_cell_length_b 4.957
_cell_length_c 4.740
_cell_angle_alpha 90.00
_cell_angle_beta 90.00
_cell_angle_gamma 90.00
loop_
_atom_site_label
_atom_site_type_symbol
_atom_site_fract_x
_atom_site_fract_y
_atom_site_fract_z
Ta1 Ta 0.000 0.500 0.000
Cd1 Cd 0.000 0.000 0.500
Ag1 Ag 0.500 0.500 0.000
As1 As 0.500 0.500 0.500
```

A PBEsol-optimized structure of CeZnAgAs2. Source: Alexandria, functional SCAN.

Fermi-level density of states   5.452 states/eV/f.u.
Calculated formation energy   -681 meV/atom

The structure in CIF format:
```
data_CeZnAgAs2
_space_group_name_H-M_alt 'P 3 m 1'
_space_group_IT_number 156
_cell_length_a 4.2373
_cell_length_b 4.2373
_cell_length_c 6.7915
_cell_angle_alpha 90.00
_cell_angle_beta 90.00
_cell_angle_gamma 120.00
loop_
_space_group_symop_operation_xyz
'x,y,z'
'-y,x-y,z'
'-x+y,-x,z'
'-y,-x,z'
'-x+y,y,z'
'x,x-y,z'
loop_
_atom_site_label
_atom_site_type_symbol
_atom_site_fract_x
_atom_site_fract_y
_atom_site_fract_z
Ce1 Ce 0.0000 0.0000 0.0000
Zn1 Zn 0.3333 0.6667 0.6210
Ag1 Ag 0.6667 0.3333 0.3552
As1 As 0.3333 0.6667 0.2378
As2 As 0.6667 0.3333 0.7469
```

A PBEsol-optimized structure of Ag2AsCl. Source: Alexandria, functional SCAN.

E_form (uncorrected)   20.17 kJ/mol of atoms
Offset from the most stable computed form   0.000 eV per atom
Fermi-level density of states   1.283 states/eV/f.u.

The structure in CIF format:
```
data_Ag2AsCl
_space_group_name_H-M_alt 'P m m m'
_space_group_IT_number 47
_cell_length_a 3.093
_cell_length_b 4.590
_cell_length_c 5.163
_cell_angle_alpha 90.00
_cell_angle_beta 90.00
_cell_angle_gamma 90.00
loop_
_space_group_symop_operation_xyz
'x,y,z'
'-x,-y,-z'
'-x,-y,z'
'x,y,-z'
'x,-y,-z'
'-x,y,z'
'-x,y,-z'
'x,-y,z'
loop_
_atom_site_label
_atom_site_type_symbol
_atom_site_fract_x
_atom_site_fract_y
_atom_site_fract_z
Ag1 Ag 0.000 0.000 0.000
Ag2 Ag 0.500 0.000 0.500
As1 As 0.000 0.500 0.500
Cl1 Cl 0.500 0.500 0.000
```

A PBEsol-optimized structure of Ag2AsCl. Source: Alexandria, functional SCAN.

E_form (uncorrected)   29.40 kJ/mol of atoms
Offset from the most stable computed form   0.096 eV per atom
Fermi-level density of states   1.117 states/eV/f.u.

The structure in CIF format:
```
data_Ag2AsCl
_space_group_name_H-M_alt 'F m -3 m'
_space_group_IT_number 225
_space_group_name_Hall '-F 4 2 3'
_cell_length_a 6.669
_cell_length_b 6.669
_cell_length_c 6.669
_cell_angle_alpha 90.00
_cell_angle_beta 90.00
_cell_angle_gamma 90.00
loop_
_atom_site_label
_atom_site_type_symbol
_atom_site_fract_x
_atom_site_fract_y
_atom_site_fract_z
Ag1 Ag 0.250 0.250 0.250
As1 As 0.000 0.000 0.000
Cl1 Cl 0.000 0.000 0.500
```